Tb4CeDy3Se8: relaxed, GGA-PBE.

a b c (Å): 8.2029 8.1977 8.2027
angles (deg): 120.02 120.00 90.00
Atoms (fractional coordinates):
Se1 0.2507 0.2520 0.5014
Se2 0.2526 0.7512 0.5051
Se3 0.7474 0.2488 0.4949
Se4 0.7475 0.2488 0.0013
Se5 0.7461 0.7512 0.9986
Se6 0.2539 0.2488 0.0014
Se7 0.2525 0.7512 0.9987
Se8 0.7493 0.7480 0.4986
Tb1 0.5000 0.0000 0.5000
Tb2 0.5000 0.0000 0.0000
Tb3 0.0000 0.0000 0.0000
Tb4 0.0000 0.0000 0.5000
Dy1 0.0000 0.5000 0.5000
Dy2 0.5000 0.5000 0.5000
Dy3 0.5000 0.5000 0.0000
Ce1 0.0000 0.5000 0.0000

Calculated values
- Fermi-level density of states: 12.93 states/eV/cell
- E_form (uncorrected): -1.77 eV per atom